(a)
VASP calculation (PBE) on crystalline HfNiC2 at its relaxed geometry.

Cell: 4.220 4.220 6.260 Å, 70.30 70.30 90.00°
Atoms (fractional coordinates):
Hf  0.750  0.250  0.500
Ni  0.500  0.500  0.000
Hf  0.000  0.000  0.000
C  0.554  0.125  0.250
C  0.375  0.446  0.750
Ni  0.250  0.750  0.500
C  0.196  0.625  0.250
C  0.875  0.804  0.750

Results
Total magnetization ... 0.00 μB per cell
Space group ... I-42d (122)

---

(b)
VASP calculation (PBE) on crystalline HfNiC2 at its relaxed geometry.

Cell: 3.865 3.865 3.865 Å, 60.00 60.00 60.00°
Atoms (fractional coordinates):
Ni  0.000  0.000  0.000
Hf  0.500  0.500  0.500
C  0.750  0.750  0.750
C  0.250  0.250  0.250

Results
Total magnetization ... 0.00 μB per cell
Space group ... Fm-3m (225)

---

Taking the most stable structure as the zero point, the relative energies in eV/atom are (a) 0.000; (b) 0.250.

---

(a)
VASP calculation (PBE) on crystalline HfC3O at its relaxed geometry.

Cell: 3.610 3.610 3.610 Å, 90.00 90.00 90.00°
Atoms (fractional coordinates):
O  0.000  0.000  0.000
C  0.000  0.000  0.500
C  0.500  0.000  0.000
C  0.000  0.500  0.000
Hf  0.500  0.500  0.500

Results
Total magnetization ... 0.00 μB per cell
Space group ... Pm-3m (221)

---

(b)
VASP calculation (PBE) on crystalline HfC3O at its relaxed geometry.

Cell: 4.337 4.337 4.337 Å, 90.00 90.00 90.00°
Each line ends with the local moment (μB).
Atoms (fractional coordinates):
O  0.500  0.500  0.500  1.38
C  0.500  0.000  0.000  0.11
Hf  0.000  0.000  0.000  0.17
C  0.000  0.000  0.500  0.06
C  0.000  0.500  0.000  0.11

Results
Total magnetization ... 2.31 μB per cell
Space group ... Pm-3m (221)

---

Taking the most stable structure as the zero point, the relative energies in eV/atom are (a) 0.000; (b) 0.852.

---

(a)
VASP calculation (PBE) on crystalline HfP3C at its relaxed geometry.

Cell: 4.959 4.959 4.959 Å, 90.00 90.00 90.00°
Each line ends with the local moment (μB).
Atoms (fractional coordinates):
C  0.500  0.500  0.500  0.82
Hf  0.000  0.000  0.000  0.04
P  0.000  0.500  0.000  -0.01
P  0.000  0.000  0.500  -0.13
P  0.500  0.000  0.000  -0.02

Results
Total magnetization ... 1.37 μB per cell
Space group ... Pm-3m (221)

---

(b)
VASP calculation (PBE) on crystalline HfP3C at its relaxed geometry.

Cell: 4.100 4.100 4.100 Å, 90.00 90.00 90.00°
Atoms (fractional coordinates):
P  0.500  0.000  0.000
Hf  0.500  0.500  0.500
P  0.000  0.500  0.000
C  0.000  0.000  0.000
P  0.000  0.000  0.500

Results
Total magnetization ... 0.00 μB per cell
Space group ... Pm-3m (221)

---

Taking the most stable structure as the zero point, the relative energies in eV/atom are (a) 1.215; (b) 0.000.